# 1
VASP calculation (PBE) on a relaxed structure of ScInCoS3.

Computed properties:
Symmetry: Cmcm, No. 63

Cell: 7.109 7.109 9.724 Å, 90.00 90.00 29.74°
Each line ends with the local moment (μB).
Positions (direct):
Sc1 0.000 0.000 0.000  0.00
In1 0.753 0.753 0.250  0.00
Co1 0.476 0.476 0.250  1.51
S1 0.376 0.376 0.432  0.07
S2 0.932 0.932 0.750  0.09
S3 0.624 0.624 0.568  0.07
S4 0.376 0.376 0.068  0.07
S5 0.068 0.068 0.250  0.09
In2 0.247 0.247 0.750  0.00
Co2 0.524 0.524 0.750  1.52
S6 0.624 0.624 0.932  0.07
Sc2 0.000 0.000 0.500  0.00

# 2
VASP calculation (PBE) on a relaxed structure of InCo2Se2S.

Computed properties:
Symmetry: Cc, No. 9

Cell: 6.628 6.628 5.935 Å, 97.86 97.86 114.92°
Positions (direct):
S1 0.060 0.482 0.592
Se1 0.941 0.737 0.095
Se2 0.737 0.941 0.595
Co1 0.233 0.733 0.908
In1 0.141 0.920 0.555
Co2 0.613 0.391 0.039
Co3 0.391 0.613 0.539
S2 0.482 0.060 0.092
Se3 0.344 0.510 0.140
Se4 0.510 0.344 0.640
In2 0.920 0.141 0.055
Co4 0.733 0.233 0.408

# 3
VASP calculation (PBE) on a relaxed structure of In2CoSe2S2.

Computed properties:
Symmetry: C2, No. 5

Cell: 6.916 6.916 5.621 Å, 113.39 113.39 110.47°
Each line ends with the local moment (μB).
Positions (direct):
In1 0.246 0.754 0.500  0.01
In2 0.503 0.497 0.000  0.02
Se1 0.670 0.924 0.538  0.10
Co1 0.006 0.994 0.000  2.19
S1 0.881 0.632 0.977  0.09
Se2 0.076 0.330 0.462  0.10
S2 0.368 0.119 0.023  0.09

# 4
VASP calculation (PBE) on a relaxed structure of In2CoSe3S.

Computed properties:
Symmetry: P1, No. 1

Cell: 5.683 5.697 7.009 Å, 66.28 66.34 89.35°
Each line ends with the local moment (μB).
Positions (direct):
S1 0.902 0.365 0.757  0.09
In1 0.506 0.498 0.997  0.02
Se1 0.340 0.877 0.739  0.10
Se2 0.132 0.081 0.253  0.10
In2 0.754 0.253 0.504  0.01
Se3 0.620 0.668 0.255  0.10
Co1 0.997 0.009 0.994  2.18

# 5
VASP calculation (PBE) on a relaxed structure of InCo3SnS2.

Computed properties:
Symmetry: R-3m, No. 166

Cell: 5.472 5.472 5.472 Å, 57.93 57.93 57.93°
Positions (direct):
S1 0.221 0.221 0.221
Co1 0.500 0.000 0.500
Sn1 0.000 0.000 0.000
S2 0.779 0.779 0.779
Co2 0.000 0.500 0.500
In1 0.500 0.500 0.500
Co3 0.500 0.500 0.000

# 6
VASP calculation (PBE) on a relaxed structure of TbInCoS3.

Computed properties:
Symmetry: Cmcm, No. 63

Cell: 7.126 7.126 10.429 Å, 90.00 90.00 31.44°
Each line ends with the local moment (μB).
Positions (direct):
S1 0.068 0.068 0.250  0.12
In1 0.752 0.752 0.250  0.01
Co1 0.524 0.524 0.750  1.91
Tb1 0.000 0.000 0.000  0.02
In2 0.248 0.248 0.750  0.01
S2 0.627 0.627 0.580  0.10
S3 0.373 0.373 0.080  0.10
S4 0.373 0.373 0.420  0.10
Co2 0.476 0.476 0.250  1.91
S5 0.932 0.932 0.750  0.12
Tb2 0.000 0.000 0.500  0.02
S6 0.627 0.627 0.920  0.10

# 7
VASP calculation (PBE) on a relaxed structure of TmInCoS3.

Computed properties:
Symmetry: Cmcm, No. 63

Cell: 7.181 7.181 10.199 Å, 90.00 90.00 149.41°
Each line ends with the local moment (μB).
Positions (direct):
In1 0.753 0.247 0.750  0.01
Co1 0.525 0.475 0.250  1.84
In2 0.247 0.753 0.250  0.01
S1 0.625 0.375 0.074  0.09
Tm1 0.000 0.000 0.000  0.02
Tm2 0.000 0.000 0.500  0.02
S2 0.934 0.066 0.250  0.12
S3 0.375 0.625 0.926  0.09
Co2 0.475 0.525 0.750  1.84
S4 0.375 0.625 0.574  0.09
S5 0.625 0.375 0.426  0.09
S6 0.066 0.934 0.750  0.12

# 8
VASP calculation (PBE) on a relaxed structure of YInCoS3.

Computed properties:
Symmetry: Cmcm, No. 63

Cell: 3.835 7.171 10.353 Å, 90.00 90.00 74.49°
Each line ends with the local moment (μB).
Positions (direct):
In1 0.248 0.505 0.250  0.01
Co1 0.475 0.049 0.750  1.88
S1 0.933 0.133 0.250  0.12
Y1 0.000 0.000 0.500  0.01
S2 0.373 0.253 0.579  0.09
Y2 0.000 0.000 0.000  0.01
S3 0.067 0.867 0.750  0.12
S4 0.373 0.253 0.921  0.10
Co2 0.525 0.951 0.250  1.88
In2 0.752 0.495 0.750  0.01
S5 0.627 0.747 0.079  0.10
S6 0.627 0.747 0.421  0.09

# 9
VASP calculation (PBE) on a relaxed structure of ZrInCoS3.

Computed properties:
Symmetry: Cmcm, No. 63

Cell: 7.277 7.277 9.682 Å, 90.00 90.00 151.23°
Each line ends with the local moment (μB).
Positions (direct):
S1 0.874 0.126 0.060  0.07
Zr1 0.500 0.500 0.000  -0.07
Zr2 0.500 0.500 0.500  -0.06
S2 0.565 0.435 0.250  0.10
Co1 0.968 0.032 0.250  1.54
S3 0.435 0.565 0.750  0.10
In1 0.753 0.247 0.750  0.02
In2 0.247 0.753 0.250  0.02
S4 0.126 0.874 0.940  0.07
S5 0.874 0.126 0.440  0.07
S6 0.126 0.874 0.560  0.07
Co2 0.032 0.968 0.750  1.54

# 10
VASP calculation (PBE) on a relaxed structure of Ta2InCo2Sb.

Computed properties:
Symmetry: I-42d, No. 122

Cell: 7.282 7.282 7.282 Å, 131.80 131.80 70.54°
Positions (direct):
Co1 0.375 0.387 0.512
Ta1 0.503 0.003 0.500
Co2 0.875 0.863 0.488
Co3 0.613 0.125 0.988
Ta2 0.997 0.497 0.500
In1 0.000 0.000 0.000
Sb1 0.250 0.750 0.500
Ta3 0.753 0.753 0.000
Sb2 0.500 0.500 0.000
In2 0.750 0.250 0.500
Ta4 0.247 0.247 0.000
Co4 0.137 0.625 0.012

# 11
VASP calculation (PBE) on a relaxed structure of ScInCo2.

Computed properties:
Symmetry: F-43m, No. 216

Cell: 4.469 4.469 4.469 Å, 60.00 60.00 60.00°
Each line ends with the local moment (μB).
Positions (direct):
Sc1 0.250 0.250 0.250  -0.08
Co1 0.750 0.750 0.750  1.36
In1 0.000 0.000 0.000  0.00
Co2 0.500 0.500 0.500  1.65

# 12
VASP calculation (PBE) on a relaxed structure of ScIn2Co.

Computed properties:
Symmetry: F-43m, No. 216

Cell: 4.733 4.733 4.733 Å, 60.00 60.00 60.00°
Each line ends with the local moment (μB).
Positions (direct):
In1 0.750 0.750 0.750  0.00
In2 0.500 0.500 0.500  0.00
Sc1 0.250 0.250 0.250  -0.13
Co1 0.000 0.000 0.000  0.73

# 13
VASP calculation (PBE) on a relaxed structure of ScInCo2.

Computed properties:
Symmetry: F-43m, No. 216

Cell: 4.460 4.460 4.460 Å, 60.00 60.00 60.00°
Each line ends with the local moment (μB).
Positions (direct):
In1 0.250 0.250 0.250  0.00
Co1 0.750 0.750 0.750  1.64
Co2 0.500 0.500 0.500  1.36
Sc1 0.000 0.000 0.000  -0.08

# 14
VASP calculation (PBE) on a relaxed structure of Sc3InCo2.

Computed properties:
Symmetry: P4/mmm, No. 123

Cell: 3.119 3.119 10.959 Å, 90.00 90.00 90.00°
Each line ends with the local moment (μB).
Positions (direct):
Co1 0.000 0.000 0.852  -0.40
Co2 0.000 0.000 0.148  -0.40
Sc1 0.500 0.500 0.716  0.07
Sc2 0.500 0.500 0.000  0.10
In1 0.000 0.000 0.500  -0.01
Sc3 0.500 0.500 0.284  0.07

# 15
VASP calculation (PBE) on a relaxed structure of Sc5In4Co2.

Computed properties:
Symmetry: Pbam, No. 55

Cell: 7.581 17.300 3.326 Å, 90.00 90.00 90.00°
Positions (direct):
In1 0.201 0.068 0.000
Co1 0.036 0.806 0.000
In2 0.431 0.848 0.000
In3 0.569 0.152 0.000
Sc1 0.877 0.090 0.500
In4 0.299 0.568 0.000
Sc2 0.377 0.410 0.500
In5 0.701 0.432 0.000
Sc3 0.745 0.278 0.500
Sc4 0.123 0.910 0.500
Sc5 0.000 0.500 0.500
Co2 0.964 0.194 0.000
In6 0.799 0.932 0.000
Sc6 0.255 0.722 0.500
Sc7 0.623 0.590 0.500
In7 0.069 0.348 0.000
In8 0.931 0.652 0.000
Sc8 0.245 0.222 0.500
Sc9 0.755 0.778 0.500
Sc10 0.500 0.000 0.500
Co3 0.536 0.694 0.000
Co4 0.464 0.306 0.000

# 16
VASP calculation (PBE) on a relaxed structure of ScIn2Co.

Computed properties:
Symmetry: F-43m, No. 216

Cell: 4.727 4.727 4.727 Å, 60.00 60.00 60.00°
Positions (direct):
Co1 0.250 0.250 0.250
Sc1 0.500 0.500 0.500
In1 0.000 0.000 0.000
In2 0.750 0.750 0.750

# 17
VASP calculation (PBE) on a relaxed structure of ScTaInCo.

Computed properties:
Symmetry: F-43m, No. 216

Cell: 4.616 4.616 4.616 Å, 60.00 60.00 60.00°
Each line ends with the local moment (μB).
Positions (direct):
Co1 0.750 0.750 0.750  0.58
Ta1 0.500 0.500 0.500  0.59
Sc1 0.250 0.250 0.250  0.56
In1 0.000 0.000 0.000  -0.01

# 18
VASP calculation (PBE) on a relaxed structure of ScInCoTc.

Computed properties:
Symmetry: F-43m, No. 216

Cell: 4.520 4.520 4.520 Å, 60.00 60.00 60.00°
Each line ends with the local moment (μB).
Positions (direct):
Sc1 0.500 0.500 0.500  -0.05
Co1 0.750 0.750 0.750  0.69
Tc1 0.250 0.250 0.250  0.64
In1 0.000 0.000 0.000  -0.01

# 19
VASP calculation (PBE) on a relaxed structure of ScInCoTc.

Computed properties:
Symmetry: F-43m, No. 216

Cell: 4.552 4.552 4.552 Å, 60.00 60.00 60.00°
Each line ends with the local moment (μB).
Positions (direct):
Tc1 0.500 0.500 0.500  1.05
Sc1 0.250 0.250 0.250  0.09
In1 0.000 0.000 0.000  -0.04
Co1 0.750 0.750 0.750  1.67

# 20
VASP calculation (PBE) on a relaxed structure of ZrScInCo.

Computed properties:
Symmetry: F-43m, No. 216

Cell: 4.704 4.704 4.704 Å, 60.00 60.00 60.00°
Each line ends with the local moment (μB).
Positions (direct):
Zr1 0.500 0.500 0.500  0.38
Sc1 0.250 0.250 0.250  0.45
In1 0.000 0.000 0.000  0.00
Co1 0.750 0.750 0.750  -0.07

# 21
VASP calculation (PBE) on a relaxed structure of In2CoSe4.

Computed properties:
Symmetry: Fd-3m, No. 227

Cell: 7.877 7.877 7.877 Å, 60.00 60.00 60.00°
Each line ends with the local moment (μB).
Positions (direct):
Se1 0.875 0.875 0.375  0.12
Se2 0.375 0.375 0.875  0.12
Se3 0.875 0.375 0.375  0.10
Co1 0.250 0.250 0.250  2.14
In1 0.625 0.125 0.625  0.01
Se4 0.875 0.875 0.875  0.12
In2 0.625 0.625 0.625  0.01
Se5 0.375 0.375 0.375  0.12
Co2 0.000 0.000 0.000  2.14
Se6 0.875 0.375 0.875  0.12
Se7 0.375 0.875 0.375  0.12
Se8 0.375 0.875 0.875  0.10
In3 0.625 0.625 0.125  0.01
In4 0.125 0.625 0.625  0.02

# 22
VASP calculation (PBE) on a relaxed structure of InCo5Se8.

Computed properties:
Symmetry: C2/m, No. 12

Cell: 9.239 9.239 8.136 Å, 104.22 104.22 22.23°
Positions (direct):
Co1 0.000 0.000 0.500
Se1 0.761 0.761 0.347
Se2 0.239 0.239 0.653
Se3 0.430 0.430 0.338
Se4 0.175 0.175 0.984
Co2 0.704 0.704 0.814
Se5 0.825 0.825 0.016
In1 0.500 0.500 0.000
Se6 0.087 0.087 0.328
Co3 0.342 0.342 0.517
Se7 0.913 0.913 0.672
Co4 0.658 0.658 0.483
Co5 0.296 0.296 0.186
Se8 0.570 0.570 0.662

# 23
VASP calculation (PBE) on a relaxed structure of InCo3Se5.

Computed properties:
Symmetry: P6/mmm, No. 191

Cell: 5.470 5.470 6.921 Å, 90.00 90.00 120.00°
Each line ends with the local moment (μB).
Positions (direct):
Se1 0.333 0.667 0.750  0.03
Se2 0.667 0.333 0.250  0.03
Se3 0.333 0.667 0.250  0.03
Co1 0.500 0.500 0.500  0.76
In1 0.000 0.000 0.000  0.00
Co2 0.500 0.000 0.500  0.75
Se4 0.667 0.333 0.750  0.03
Se5 0.000 0.000 0.500  0.01
Co3 0.000 0.500 0.500  0.58

Summary of E_tot in eV per atom
-5.6687; -4.9239; -4.3657; -4.2668; -5.5528; -5.4225; -5.4032; -5.7299; -6.0204; -7.6758; -5.7537; -4.7350; -5.7527; -6.3815; -5.6201; -4.7347; -6.8106; -6.6183; -6.4991; -6.2505; -4.1079; -4.9986; -4.7528
(order as listed above)